Compound: Rb2Hg3Br8
Source: OQMD
Functional: PBE
Structure: relaxed

Results
The symmetry is No. 12. As for the electronic total energy: -27.39 eV/cell.

Lattice parameters (Å, degrees): 9.4758 9.4758 6.6770 104.43 104.43 69.60
Fractional coordinates of all 13 atoms:
Rb1 0.2208 0.2208 0.0288
Rb2 0.7792 0.7792 0.9712
Hg1 0.1872 0.8128 0.5000
Hg2 0.5000 0.5000 0.0000
Hg3 0.8128 0.1872 0.5000
Br1 0.1102 0.1102 0.4114
Br2 0.1684 0.6225 0.1519
Br3 0.3607 0.3607 0.6923
Br4 0.3775 0.8316 0.8481
Br5 0.6225 0.1684 0.1519
Br6 0.6393 0.6393 0.3077
Br7 0.8316 0.3775 0.8481
Br8 0.8898 0.8898 0.5886